This record from the Alexandria database describes an optimized crystal structure of VPtIN2. The functional is GGA-PBE.

a b c (Å): 3.8216 3.8216 7.9352
angles (deg): 90.00 90.00 90.00
Closest atoms and distances in Å follow each position.
Sites, in units of the cell vectors:
V  0.0000  0.0000  0.0000  4 I 2.70
Pt  0.5000  0.5000  0.5000  4 N 1.91
I  0.5000  0.5000  0.0000  4 V 2.70
N  0.0000  0.5000  0.5000  2 Pt 1.91
N  0.5000  0.0000  0.5000  2 Pt 1.91

Properties
The calculation puts the total magnetization at 3.8 μB/cell. Its space group is No. 123. Its total energy is -26.90 eV per formula unit. The energy above the most stable polymorph in this dataset is 59.8 kJ/mol of atoms.

---

This record from the Alexandria database describes an optimized crystal structure of Li2Pt2Rh. The functional is GGA-PBE.

a b c (Å): 7.0973 7.0973 2.7693
angles (deg): 90.00 90.00 90.00
Closest atoms and distances in Å follow each position.
Sites, in units of the cell vectors:
Li  0.1602  0.3398  0.0000  6 Pt 2.44-2.54
Li  0.3398  0.8398  0.0000  6 Pt 2.44-2.54
Li  0.6602  0.1602  0.0000  6 Pt 2.44-2.54
Li  0.8398  0.6602  0.0000  6 Pt 2.44-2.54
Pt  0.1396  0.6396  0.5000  6 Li 2.44-2.54
Pt  0.3604  0.1396  0.5000  6 Li 2.44-2.54
Pt  0.6396  0.8604  0.5000  6 Li 2.44-2.54
Pt  0.8604  0.3604  0.5000  6 Li 2.44-2.54
Rh  0.0000  0.0000  0.5000  4 Pt 2.74, 2 Rh 2.77, 8 Li 3.00
Rh  0.5000  0.5000  0.5000  4 Pt 2.74, 2 Rh 2.77, 8 Li 3.00

Properties
The calculation puts the total magnetization at 1.6 μB/cell. Its space group is No. 127. Its total energy is -24.06 eV per formula unit. The energy above the most stable polymorph in this dataset is 12.3 kJ/mol of atoms. As for the formation enthalpy at 0 K: -0.16 eV per atom.

---

This record from the Alexandria database describes an optimized crystal structure of KNiTe2. The functional is GGA-PBE.

a b c (Å): 3.4117 3.6099 9.2474
angles (deg): 90.00 90.00 90.00
Closest atoms and distances in Å follow each position.
Sites, in units of the cell vectors:
K  0.0000  0.0000  0.0000  4 K 3.41-3.61, 5 Te 3.42-3.46
Ni  0.5000  0.5000  0.4629  5 Te 2.56-2.63
Te  0.0000  0.0000  0.3696  4 Ni 2.63
Te  0.5000  0.5000  0.7402  1 Ni 2.56

Properties
The calculation puts the total magnetization at 0.0 μB/cell. Its space group is No. 25. Its total energy is -14.01 eV per formula unit.